NpNi6O12 | PBE with a Hubbard U | optimized geometry

* SG: R-3
* E: -5.6630 eV per atom
* D(E_F): 0.2421 states/eV/atom
* magnetization: 7.0 μB/cell

Geometry as POSCAR:
```
NpNi6O12
1.0
4.6143 2.6641 2.7371
-4.6143 2.6641 2.7371
0.0000 -5.3281 2.7371
Np Ni O
1 6 12
Direct
0.0000 0.0000 0.0000
0.1506 0.3497 0.5980
0.3497 0.5980 0.1506
0.4020 0.8494 0.6503
0.5980 0.1506 0.3497
0.6503 0.4020 0.8494
0.8494 0.6503 0.4020
0.0456 0.8737 0.6825
0.1263 0.3175 0.9544
0.1816 0.5911 0.4032
0.3175 0.9544 0.1263
0.4032 0.1816 0.5911
0.4089 0.5968 0.8184
0.5911 0.4032 0.1816
0.5968 0.8184 0.4089
0.6825 0.0456 0.8737
0.8184 0.4089 0.5968
0.8737 0.6825 0.0456
0.9544 0.1263 0.3175
```